# 1
A plane-wave DFT calculation with PBE was carried out for an optimized crystal structure of AlCo2Se.

POSCAR file:
```
AlCo2Se
1.0
3.8664 0.0000 0.0000
0.0000 3.8664 0.0000
1.9332 1.9332 7.7008
Co Se Al
4 2 2
Direct
0.0944 0.6250 0.2500 Co
0.6556 0.1250 0.2500 Co
0.3750 0.3444 0.7500 Co
0.8750 0.9056 0.7500 Co
0.7500 0.2500 0.5000 Se
0.0000 0.0000 0.0000 Se
0.5000 0.5000 0.0000 Al
0.2500 0.7500 0.5000 Al
```

## Properties
E_form (uncorrected)	8.6	kJ/mol of atoms
M_tot	1.6	Bohr magnetons per cell
VASP energy	-5.27	eV per atom
energy above the most stable polymorph in this dataset	4.147	kcal/mol of atoms

=====

# 2
A plane-wave DFT calculation with PBE was carried out for an optimized crystal structure of Cu10NiAu6.

POSCAR file:
```
Cu10NiAu6
1.0
5.2529 0.0000 0.0000
0.0000 6.4358 -3.7157
0.0000 0.0000 7.4314
Au Cu Ni
6 10 1
Direct
0.6700 0.6684 0.0000 Au
0.6700 0.0000 0.6684 Au
0.3300 0.6684 0.6684 Au
0.3300 0.3316 0.0000 Au
0.3300 0.0000 0.3316 Au
0.6700 0.3316 0.3316 Au
0.8428 0.0000 0.3296 Cu
0.1572 0.0000 0.6704 Cu
0.5000 0.6667 0.3333 Cu
0.1572 0.6704 0.0000 Cu
0.0000 0.6667 0.3333 Cu
0.1572 0.3296 0.3296 Cu
0.5000 0.3333 0.6667 Cu
0.0000 0.3333 0.6667 Cu
0.8428 0.6704 0.6704 Cu
0.8428 0.3296 0.0000 Cu
0.5000 0.0000 0.0000 Ni
```

## Properties
M_tot	0.0	Bohr magnetons per cell
VASP energy	-3.84	eV per atom

=====

# 3
A plane-wave DFT calculation with PBE was carried out for an optimized crystal structure of Tb6Pm2Y3Sc.

POSCAR file:
```
Tb6Pm2Y3Sc
1.0
-3.9460 2.6314 -3.9167
2.9459 -5.1558 -1.6048
-8.3200 -5.4946 6.2947
Sc Tb Y Pm
1 6 3 2
Direct
0.0000 0.0000 0.0000 Sc
0.9174 0.5871 0.7512 Tb
0.5871 0.9174 0.7512 Tb
0.0826 0.4129 0.2488 Tb
0.4129 0.0826 0.2488 Tb
0.2476 0.2476 0.7507 Tb
0.7524 0.7524 0.2493 Tb
0.5000 0.5000 0.5000 Y
0.1662 0.8338 0.5000 Y
0.8338 0.1662 0.5000 Y
0.3335 0.6665 0.0000 Pm
0.6665 0.3335 0.0000 Pm
```

## Properties
M_tot	0.0	Bohr magnetons per cell
VASP energy	-5.22	eV per atom

=====

# 4
A plane-wave DFT calculation with PBE was carried out for an optimized crystal structure of Cd2TcAg2.

POSCAR file:
```
Cd2TcAg2
1.0
8.0860 0.0000 0.0000
0.0000 8.0860 0.0000
0.0000 0.0000 2.8595
Ag Cd Tc
4 4 2
Direct
0.6225 0.1225 0.0000 Ag
0.8775 0.6225 0.0000 Ag
0.1225 0.3775 0.0000 Ag
0.3775 0.8775 0.0000 Ag
0.3233 0.1767 0.5000 Cd
0.8233 0.3233 0.5000 Cd
0.6767 0.8233 0.5000 Cd
0.1767 0.6767 0.5000 Cd
0.0000 0.0000 0.0000 Tc
0.5000 0.5000 0.0000 Tc
```

## Properties
M_tot	0.9	Bohr magnetons per cell
VASP energy	-3.08	eV per atom
energy above the most stable polymorph in this dataset	0.000	kcal/mol of atoms

=====

# 5
A plane-wave DFT calculation with PBE was carried out for an optimized crystal structure of Sm3Ho4Tm5.

POSCAR file:
```
Sm3Ho4Tm5
1.0
5.8529 0.0000 0.0000
2.9265 7.4623 -2.6537
2.9265 -0.8601 9.0844
Sm Tm Ho
3 5 4
Direct
0.0000 0.5000 0.5000 Sm
0.5236 0.6851 0.2677 Sm
0.4764 0.3149 0.7323 Sm
0.5000 0.5000 0.5000 Tm
0.3762 0.0511 0.1965 Tm
0.7851 0.5424 0.8874 Tm
0.6238 0.9489 0.8035 Tm
0.2149 0.4576 0.1126 Tm
0.8597 0.2219 0.0587 Ho
0.8317 0.9588 0.3779 Ho
0.1683 0.0412 0.6221 Ho
0.1403 0.7781 0.9413 Ho
```

## Properties
M_tot	0.3	Bohr magnetons per cell
VASP energy	-4.32	eV per atom
energy above the most stable polymorph in this dataset	5.171	kcal/mol of atoms

=====

# 6
A plane-wave DFT calculation with PBE was carried out for an optimized crystal structure of Sc2Si2S.

POSCAR file:
```
Sc2Si2S
1.0
-3.3167 -0.6658 0.7672
-0.7289 -0.2650 -3.3810
-0.5252 -7.6491 -1.0668
Si Sc S
2 2 1
Direct
0.7500 0.2500 0.5000 Si
0.2500 0.7500 0.5000 Si
0.6037 0.6037 0.7925 Sc
0.3963 0.3963 0.2075 Sc
0.0000 0.0000 0.0000 S
```

## Properties
E_form (uncorrected)	-85.3	kJ/mol of atoms
M_tot	0.0	Bohr magnetons per cell
VASP energy	-6.41	eV per atom
energy above the most stable polymorph in this dataset	0.000	kcal/mol of atoms

=====

# 7
A plane-wave DFT calculation with PBE was carried out for an optimized crystal structure of SmEr6Hg2.

POSCAR file:
```
SmEr6Hg2
1.0
-1.7449 -2.4968 2.1022
1.7175 -5.8743 -2.2935
8.8588 -3.2927 6.7003
Er Hg Sm
6 2 1
Direct
0.3120 0.5008 0.8752 Er
0.3124 0.7923 0.5829 Er
0.6880 0.4992 0.1248 Er
0.9857 0.6887 0.3399 Er
0.6876 0.2077 0.4171 Er
0.0143 0.3113 0.6601 Er
0.6478 0.9196 0.7849 Hg
0.3522 0.0804 0.2151 Hg
0.0000 0.0000 0.0000 Sm
```

## Properties
M_tot	0.0	Bohr magnetons per cell
VASP energy	-3.83	eV per atom

=====

# 8
A plane-wave DFT calculation with PBE was carried out for an optimized crystal structure of Sr4TePCl2.

POSCAR file:
```
Sr4TePCl2
1.0
-1.8855 2.2946 -3.3978
-6.0050 1.5465 4.3766
1.1582 6.8077 3.9547
Cl Sr P Te
2 4 1 1
Direct
0.5000 0.0000 0.5000 Cl
0.0000 0.0000 0.0000 Cl
0.0000 0.7400 0.7288 Sr
0.5000 0.7302 0.2753 Sr
0.0000 0.2600 0.2712 Sr
0.5000 0.2698 0.7247 Sr
0.0000 0.5000 0.5000 P
0.5000 0.5000 0.0000 Te
```

## Properties
E_form (uncorrected)	-160.2	kJ/mol of atoms
M_tot	0.0	Bohr magnetons per cell
VASP energy	-4.03	eV per atom

=====

# 9
A plane-wave DFT calculation with PBE was carried out for an optimized crystal structure of LaPrGd2.

POSCAR file:
```
LaPrGd2
1.0
-2.9192 -3.6396 3.4695
2.1695 -1.4246 5.2029
-2.5190 1.9953 4.8456
Gd Pr La
2 1 1
Direct
0.2500 0.2500 0.2500 Gd
0.7500 0.7500 0.7500 Gd
0.0000 0.0000 0.0000 Pr
0.5000 0.5000 0.5000 La
```

## Properties
M_tot	15.8	Bohr magnetons per cell
VASP energy	-9.38	eV per atom
energy above the most stable polymorph in this dataset	1.660	kcal/mol of atoms

=====

# 10
A plane-wave DFT calculation with PBE was carried out for an optimized crystal structure of TmMg3.

POSCAR file:
```
TmMg3
1.0
-3.3866 -1.5378 -0.0833
1.1602 -2.3075 -4.5727
2.9089 -2.1686 4.8481
Mg Tm
3 1
Direct
0.2363 0.6530 0.4726 Mg
0.5000 0.4166 0.0000 Mg
0.7637 0.1804 0.5274 Mg
0.0000 0.9166 0.0000 Tm
```

## Properties
M_tot	0.0	Bohr magnetons per cell
VASP energy	-2.30	eV per atom

=====

# 11
A plane-wave DFT calculation with PBE was carried out for an optimized crystal structure of PuGa3Pt2.

POSCAR file:
```
PuGa3Pt2
1.0
4.2133 0.0000 0.0000
-2.1067 7.8982 -2.5870
0.0000 0.0269 10.1128
Ga Pu Pt
9 3 6
Direct
0.3707 0.7414 0.8065 Ga
0.7863 0.5725 0.6149 Ga
0.3317 0.6635 0.0453 Ga
0.0387 0.0773 0.3616 Ga
0.6293 0.2586 0.1935 Ga
0.5000 0.0000 0.5000 Ga
0.6683 0.3365 0.9547 Ga
0.2137 0.4275 0.3851 Ga
0.9613 0.9227 0.6384 Ga
0.8398 0.6797 0.2929 Pu
0.1602 0.3203 0.7071 Pu
0.0000 0.0000 0.0000 Pu
0.5215 0.0430 0.7842 Pt
0.1974 0.3948 0.1207 Pt
0.6402 0.2804 0.4513 Pt
0.8026 0.6052 0.8793 Pt
0.3598 0.7196 0.5487 Pt
0.4785 0.9570 0.2158 Pt
```

## Properties
M_tot	16.1	Bohr magnetons per cell
VASP energy	-6.58	eV per atom

=====

# 12
A plane-wave DFT calculation with PBE was carried out for an optimized crystal structure of Cd2TcAg.

POSCAR file:
```
Cd2TcAg
1.0
-1.3777 -9.7267 -0.7779
0.7396 -9.7482 1.2406
-2.0515 -9.4177 2.0519
Tc Ag Cd
1 1 2
Direct
0.2500 0.2500 0.2500 Tc
0.7500 0.7500 0.7500 Ag
0.5016 0.5016 0.5016 Cd
0.9984 0.9984 0.9984 Cd
```

## Properties
M_tot	0.0	Bohr magnetons per cell
VASP energy	-3.50	eV per atom
energy above the most stable polymorph in this dataset	0.000	kcal/mol of atoms

=====

# 13
A plane-wave DFT calculation with PBE was carried out for an optimized crystal structure of ZrReSi.

POSCAR file:
```
ZrReSi
1.0
7.0016 0.0000 0.0000
-3.5008 6.0636 0.0000
0.0000 0.0000 3.4375
Si Re Zr
3 3 3
Direct
0.6667 0.3333 0.0000 Si
0.0000 0.0000 0.5000 Si
0.3333 0.6667 0.0000 Si
0.2539 0.2539 0.0000 Re
0.7461 0.0000 0.0000 Re
0.0000 0.7461 0.0000 Re
0.4038 0.0000 0.5000 Zr
0.0000 0.4038 0.5000 Zr
0.5962 0.5962 0.5000 Zr
```

## Properties
E_form (uncorrected)	-74.3	kJ/mol of atoms
M_tot	0.0	Bohr magnetons per cell
VASP energy	-9.58	eV per atom

=====

# 14
A plane-wave DFT calculation with PBE was carried out for an optimized crystal structure of CrAuBr2.

POSCAR file:
```
CrAuBr2
1.0
5.2616 -0.0057 -0.0668
4.1264 3.2646 -0.0668
2.7681 0.9609 6.7063
Br Au Cr
2 1 1
Direct
0.0099 0.0099 0.0937 Br
0.8643 0.8643 0.6299 Br
0.1727 0.1727 0.4196 Au
0.4531 0.4531 0.3568 Cr
```

## Properties
E_form (uncorrected)	-16.6	kJ/mol of atoms
M_tot	3.1	Bohr magnetons per cell
VASP energy	-4.23	eV per atom
energy above the most stable polymorph in this dataset	1.127	kcal/mol of atoms

=====

# 15
A plane-wave DFT calculation with PBE was carried out for an optimized crystal structure of Tm6SbSe4.

POSCAR file:
```
Tm6SbSe4
1.0
-1.0554 0.0741 3.8531
-3.0686 -5.4277 -2.8080
16.3030 -11.6434 4.6896
Se Sb Tm
8 2 12
Direct
0.1438 0.2875 0.4642 Se
0.5843 0.1685 0.6229 Se
0.1438 0.2875 0.0358 Se
0.8562 0.7125 0.5358 Se
0.5843 0.1685 0.8771 Se
0.8562 0.7125 0.9642 Se
0.4157 0.8315 0.3771 Se
0.4157 0.8315 0.1229 Se
0.6768 0.3536 0.2500 Sb
0.3232 0.6464 0.7500 Sb
0.9452 0.8903 0.6650 Tm
0.2319 0.4638 0.9015 Tm
0.2319 0.4638 0.5985 Tm
0.7681 0.5362 0.0985 Tm
0.0548 0.1097 0.1650 Tm
0.9452 0.8903 0.8350 Tm
0.7681 0.5362 0.4015 Tm
0.3509 0.7019 0.2500 Tm
0.5000 0.0000 0.0000 Tm
0.6491 0.2981 0.7500 Tm
0.0548 0.1097 0.3350 Tm
0.5000 0.0000 0.5000 Tm
```

## Properties
E_form (uncorrected)	-135.7	kJ/mol of atoms
M_tot	0.0	Bohr magnetons per cell
VASP energy	-5.49	eV per atom

=====

# 16
A plane-wave DFT calculation with PBE was carried out for an optimized crystal structure of Y4TaP.

POSCAR file:
```
Y4TaP
1.0
1.9497 -5.1776 -2.4931
-3.9447 -3.7479 -2.6866
0.0445 -0.6334 -6.0350
Y Ta P
4 1 1
Direct
0.3735 0.8796 0.3735 Y
0.8796 0.3735 0.3735 Y
0.3735 0.3735 0.8796 Y
0.3735 0.3735 0.3735 Y
0.0000 0.0000 0.0000 Ta
0.7500 0.7500 0.7500 P
```

## Properties
M_tot	0.0	Bohr magnetons per cell
VASP energy	-6.37	eV per atom

=====

# 17
A plane-wave DFT calculation with PBE was carried out for an optimized crystal structure of Pr2Dy6HoSc3.

POSCAR file:
```
Pr2Dy6HoSc3
1.0
5.9400 -0.0022 -0.0004
-2.9705 5.1439 -0.0004
-0.9956 -1.7238 12.1399
Dy Sc Ho Pr
6 3 1 2
Direct
0.4268 0.7599 0.2803 Dy
0.5732 0.2401 0.7197 Dy
0.2401 0.5732 0.7197 Dy
0.9077 0.9077 0.7220 Dy
0.7599 0.4268 0.2803 Dy
0.0923 0.0923 0.2780 Dy
0.5000 0.5000 0.5000 Sc
0.8335 0.1665 0.5000 Sc
0.1665 0.8335 0.5000 Sc
0.0000 0.0000 0.0000 Ho
0.3333 0.6667 0.0000 Pr
0.6667 0.3333 0.0000 Pr
```

## Properties
M_tot	0.0	Bohr magnetons per cell
VASP energy	-4.88	eV per atom

=====

# 18
A plane-wave DFT calculation with PBE was carried out for an optimized crystal structure of YTc2Rh.

POSCAR file:
```
YTc2Rh
1.0
-2.7256 -4.8688 5.2746
4.1418 -5.6749 -3.0981
2.6747 -4.6863 2.6450
Tc Y Rh
4 2 2
Direct
0.3750 0.3292 0.7500 Tc
0.8750 0.9208 0.7500 Tc
0.0792 0.6250 0.2500 Tc
0.6708 0.1250 0.2500 Tc
0.2500 0.7500 0.5000 Y
0.5000 0.5000 0.0000 Y
0.7500 0.2500 0.5000 Rh
0.0000 0.0000 0.0000 Rh
```

## Properties
M_tot	0.0	Bohr magnetons per cell
VASP energy	-8.20	eV per atom
energy above the most stable polymorph in this dataset	10.915	kcal/mol of atoms

=====

# 19
A plane-wave DFT calculation with PBE was carried out for an optimized crystal structure of Rb3Te4Au.

POSCAR file:
```
Rb3Te4Au
1.0
-7.1166 1.6725 3.0625
2.3940 -4.4255 -6.1242
3.2059 -4.6003 5.6020
Rb Te Au
3 4 1
Direct
0.9385 0.0000 0.9385 Rb
0.5729 0.7811 0.3540 Rb
0.5729 0.2189 0.7918 Rb
0.0403 0.7580 0.2823 Te
0.2469 0.3616 0.6085 Te
0.5243 0.2420 0.2823 Te
0.2469 0.6384 0.8853 Te
0.0082 0.5000 0.5082 Au
```

## Properties
E_form (uncorrected)	-57.0	kJ/mol of atoms
M_tot	0.0	Bohr magnetons per cell
VASP energy	-2.93	eV per atom

=====

# 20
A plane-wave DFT calculation with PBE was carried out for an optimized crystal structure of ScZnPd.

POSCAR file:
```
ScZnPd
1.0
-1.7683 -2.6790 -1.1975
2.9159 -1.4470 -1.0687
-0.1567 0.0772 4.9598
Sc Zn Pd
1 1 1
Direct
0.6130 0.6130 0.2260 Sc
0.2885 0.2885 0.5770 Zn
0.9485 0.9485 0.8970 Pd
```

## Properties
M_tot	0.0	Bohr magnetons per cell
VASP energy	-4.96	eV per atom